(1)
DFT (PBE-GGA) results for a geometry-optimized OsW2Au structure.

a = 4.867 Å, b = 4.867 Å, c = 4.867 Å
α = 131.43°, β = 131.43°, γ = 71.14°
Element x y z (fractional)
W: 0.250 0.750 0.500
W: 0.000 0.000 0.000
Au: 0.500 0.500 0.000
Os: 0.750 0.250 0.500

- Formation energy from the elements: 367 meV per atom
- E above lowest polymorph: 161.0 meV/atom
- Symmetry: No. 119

(2)
DFT (PBE-GGA) results for a geometry-optimized LiHoPb2Se4 structure.

a = 4.210 Å, b = 7.383 Å, c = 7.212 Å
α = 71.40°, β = 90.00°, γ = 90.00°
Element x y z (fractional)
Li: 0.500 0.500 0.000
Se: 0.500 0.723 0.258
Se: 0.000 0.725 0.755
Se: 0.000 0.275 0.245
Se: 0.500 0.277 0.742
Ho: 0.000 0.500 0.500
Pb: 0.500 0.000 0.500
Pb: 0.000 0.000 0.000

- Uncorrected formation energy: -1.08 eV per atom
- Symmetry: No. 10

(3)
DFT (PBE-GGA) results for a geometry-optimized Pr2Y2HoTm structure.

a = 5.678 Å, b = 7.088 Å, c = 9.822 Å
α = 90.00°, β = 90.00°, γ = 90.00°
Element x y z (fractional)
Y: 0.000 0.758 0.844
Y: 0.500 0.008 0.000
Y: 0.500 0.508 0.000
Y: 0.000 0.258 0.156
Pr: 0.500 0.757 0.648
Pr: 0.000 0.758 0.184
Pr: 0.000 0.258 0.816
Pr: 0.500 0.257 0.352
Tm: 0.000 0.007 0.500
Tm: 0.000 0.507 0.500
Ho: 0.500 0.757 0.320
Ho: 0.500 0.257 0.680

- Formation energy from the elements: 58 meV per atom
- Symmetry: No. 51

no.,final energy (eV per cell),calculated density (g/cm³)
1,-38.946,19.75
2,-36.469,7.05
3,-62.380,6.67